Entry from the Alexandria database: Pr3Dy2Sc2 after structural relaxation (PBE).

extended XYZ file:
```
7
Lattice="-0.596 0.231 -3.462 -6.641 -4.522 2.636 -0.523 8.548 0.665" Properties=species:S:1:pos:R:3 pbc="T T T"
Dy -2.541 5.942 -0.953
Sc -1.195 3.097 0.412
Pr -4.461 3.459 1.009
Pr -3.299 0.797 -1.169
Pr 0.000 0.000 0.000
Sc -6.565 1.160 -0.572
Dy -5.220 -1.685 0.792
```

Crystal system: triclinic
Magnetic moment, μB per cell: 0.00
Raw total energy, eV/f.u.: -35.89
Energy relative to the elements, eV per atom: 0.04